(1)
The following is a DFT calculation (PBE-GGA) of a relaxed AlZnCoHg crystal.

Cell: 4.4043 4.4043 4.4043 Å, 60.00 60.00 60.00°
Fractional coordinates of all 4 atoms:
Al (0.0000, 0.0000, 0.0000)
Zn (0.7500, 0.7500, 0.7500)
Co (0.2500, 0.2500, 0.2500)
Hg (0.5000, 0.5000, 0.5000)

For the energy above the most stable polymorph in this dataset, the calculation gives 0.066 eV per formula unit. The total energy comes out at -11.607 eV for the cell shown.

(2)
The following is a DFT calculation (PBE-GGA) of a relaxed ZrAlCoHg crystal.

Cell: 4.6025 4.6025 4.6025 Å, 60.00 60.00 60.00°
Fractional coordinates of all 4 atoms:
Zr (0.0000, 0.0000, 0.0000)
Al (0.2500, 0.2500, 0.2500)
Co (0.5000, 0.5000, 0.5000)
Hg (0.7500, 0.7500, 0.7500)

For the energy above the most stable polymorph in this dataset, the calculation gives 0.371 eV per formula unit. The total energy comes out at -19.644 eV for the cell shown.